No. 1
DFT (PBE) results for a relaxed ZrAgIr2 crystal.

Unit cell a=8.979 b=8.979 c=8.979 alpha=19.55 beta=19.55 gamma=19.55
Element x y z (fractional)
Zr 0.000 0.000 0.000
Ag 0.500 0.500 0.500
Ir 0.255 0.255 0.255
Ir 0.745 0.745 0.745

Calculated values
relative energy among the computed polymorphs	351	meV per atom
energy relative to the elements	-22.0	meV per atom

No. 2
DFT (PBE) results for a relaxed Zr2AgIr crystal.

Unit cell a=3.087 b=3.432 c=7.274 alpha=90.00 beta=90.00 gamma=90.00
Element x y z (fractional)
Zr 0.000 0.000 0.231
Zr 0.000 0.000 0.769
Ag 0.500 0.500 0.500
Ir 0.500 0.500 0.000

Calculated values
energy relative to the elements	-405.7	meV per atom

No. 3
DFT (PBE) results for a relaxed Zr2AgIr crystal.

Unit cell a=9.536 b=9.536 c=9.536 alpha=18.87 beta=18.87 gamma=18.87
Element x y z (fractional)
Zr 0.000 0.000 0.000
Zr 0.241 0.241 0.241
Ag 0.753 0.753 0.753
Ir 0.502 0.502 0.502

Calculated values
energy relative to the elements	6.5	meV per atom

No. 4
DFT (PBE) results for a relaxed ZrAgIr2 crystal.

Unit cell a=5.871 b=5.871 c=5.871 alpha=103.07 beta=103.07 gamma=123.21
Element x y z (fractional)
Zr 0.000 0.000 0.000
Zr 0.750 0.250 0.500
Ag 0.250 0.750 0.500
Ag 0.500 0.500 0.000
Ir 0.113 0.125 0.488
Ir 0.375 0.887 0.012
Ir 0.637 0.625 0.512
Ir 0.875 0.363 0.988

Calculated values
relative energy among the computed polymorphs	592	meV per atom
energy relative to the elements	218.9	meV per atom

No. 5
DFT (PBE) results for a relaxed ZrAg2Ir crystal.

Unit cell a=9.693 b=9.693 c=9.693 alpha=17.54 beta=17.54 gamma=17.54
Element x y z (fractional)
Zr 0.000 0.000 0.000
Ag 0.244 0.244 0.244
Ag 0.493 0.493 0.493
Ir 0.744 0.744 0.744

Calculated values
relative energy among the computed polymorphs	292	meV per atom
energy relative to the elements	39.1	meV per atom

No. 6
DFT (PBE) results for a relaxed ZrAg2Ir crystal.

Unit cell a=3.509 b=3.509 c=5.927 alpha=90.00 beta=90.00 gamma=90.00
Element x y z (fractional)
Zr 0.000 0.000 0.000
Ag 0.000 0.000 0.518
Ag 0.500 0.500 0.295
Ir 0.500 0.500 0.798

Calculated values
relative energy among the computed polymorphs	57	meV per atom
energy relative to the elements	-196.1	meV per atom